[1]
AcLuCuPb: relaxed, PBE.

a = 7.666 Å, b = 7.666 Å, c = 7.666 Å
α = 90.00°, β = 90.00°, γ = 90.00°
Space group F-43m (No. 216)
One atom of each set of equivalent atoms:
Ac 0.000 0.000 0.000 x4
Lu 0.000 0.000 0.500 x4
Cu 0.250 0.250 0.250 x4
Pb 0.250 0.250 0.750 x4

Results
**N(E_F)**: 0.9588 states/eV/atom
**Crystal system**: cubic
**Calculated volume**: 113 Å³/f.u.
**ΔH_f (0 K)**: -0.19 eV per atom


[2]
AcLuCuPt: relaxed, PBE.

a = 7.242 Å, b = 7.242 Å, c = 7.242 Å
α = 90.00°, β = 90.00°, γ = 90.00°
Space group F-43m (No. 216)
One atom of each set of equivalent atoms:
Ac 0.000 0.000 0.000 x4
Lu 0.000 0.000 0.500 x4
Cu 0.250 0.250 0.250 x4
Pt 0.250 0.250 0.750 x4

Results
**N(E_F)**: 0.6541 states/eV/atom
**Crystal system**: cubic
**Calculated volume**: 95 Å³/f.u.
**ΔH_f (0 K)**: -0.61 eV per atom


[3]
AcLuCuRh: relaxed, PBE.

a = 7.165 Å, b = 7.165 Å, c = 7.165 Å
α = 90.00°, β = 90.00°, γ = 90.00°
Space group F-43m (No. 216)
One atom of each set of equivalent atoms:
Ac 0.000 0.000 0.000 x4
Lu 0.000 0.000 0.500 x4
Cu 0.250 0.250 0.250 x4
Rh 0.250 0.250 0.750 x4

Results
**N(E_F)**: 0.8666 states/eV/atom
**Crystal system**: cubic
**Calculated volume**: 92 Å³/f.u.
**ΔH_f (0 K)**: -0.39 eV per atom


[4]
AcLuCuSi: relaxed, PBE.

a = 7.275 Å, b = 7.275 Å, c = 7.275 Å
α = 90.00°, β = 90.00°, γ = 90.00°
Space group F-43m (No. 216)
One atom of each set of equivalent atoms:
Ac 0.000 0.000 0.000 x4
Lu 0.000 0.000 0.500 x4
Cu 0.250 0.250 0.750 x4
Si 0.250 0.250 0.250 x4

Results
**N(E_F)**: 0.7072 states/eV/atom
**Formation energy (no corrections)**: -262 meV per atom
**Crystal system**: cubic
**Calculated volume**: 96 Å³/f.u.


[5]
AcLuZnCu: relaxed, PBE.

a = 7.346 Å, b = 7.346 Å, c = 7.346 Å
α = 90.00°, β = 90.00°, γ = 90.00°
Space group F-43m (No. 216)
One atom of each set of equivalent atoms:
Ac 0.000 0.000 0.000 x4
Lu 0.000 0.000 0.500 x4
Zn 0.250 0.250 0.750 x4
Cu 0.250 0.250 0.250 x4

Results
**N(E_F)**: 0.2982 states/eV/atom
**Crystal system**: cubic
**Calculated volume**: 99 Å³/f.u.
**ΔH_f (0 K)**: -0.17 eV per atom


[6]
AcMg3Cu2: relaxed, PBE.

a = 16.496 Å, b = 4.358 Å, c = 8.516 Å
α = 90.00°, β = 116.89°, γ = 90.00°
Space group C2/m (No. 12)
One atom of each set of equivalent atoms:
Ac 0.147 0.000 0.069 x4
Mg 0.042 0.000 0.370 x4
Mg 0.099 0.500 0.693 x4
Mg 0.183 0.500 0.447 x4
Cu 0.017 0.500 0.157 x4
Cu 0.196 0.000 0.686 x4

Results
**N(E_F)**: 0.6390 states/eV/atom
**Crystal system**: monoclinic
**Calculated volume**: 137 Å³/f.u.
**ΔH_f (0 K)**: -0.11 eV per atom


[7]
AcMg2Cu: relaxed, PBE.

a = 3.5407 Å, b = 3.5407 Å, c = 30.9337 Å
α = 90.00°, β = 90.00°, γ = 120.00°
Space group R-3m (No. 166, hexagonal axes)
One atom of each set of equivalent atoms:
Ac 0.0000 0.0000 0.0000 x3
Mg 0.0000 0.0000 0.1116 x6
Cu 0.0000 0.0000 0.5000 x3

Results
**N(E_F)**: 0.4765 states/eV/atom
**Crystal system**: trigonal
**Calculated volume**: 112 Å³/f.u.
**ΔH_f (0 K)**: 0.33 eV per atom


[8]
Ac3Mg7Cu2: relaxed, PBE.

a = 6.2927 Å, b = 6.2927 Å, c = 27.7031 Å
α = 90.00°, β = 90.00°, γ = 120.00°
Space group R-3m (No. 166, hexagonal axes)
One atom of each set of equivalent atoms:
Ac 0.0000 0.0000 0.0000 x3
Ac 0.0000 0.0000 0.1468 x6
Mg 0.0000 0.0000 0.5000 x3
Mg 0.0018 0.5009 0.0723 x18
Cu 0.0000 0.0000 0.3330 x6

Results
**N(E_F)**: 0.8043 states/eV/atom
**Crystal system**: trigonal
**Calculated volume**: 317 Å³/f.u.
**ΔH_f (0 K)**: -0.10 eV per atom


[9]
Ac3Mg7Cu4: relaxed, PBE.

a = 17.107 Å, b = 4.439 Å, c = 10.644 Å
α = 90.00°, β = 123.51°, γ = 90.00°
Space group C2/m (No. 12)
One atom of each set of equivalent atoms:
Ac 0.000 0.000 0.000 x2
Ac 0.195 0.500 0.707 x4
Mg 0.000 0.000 0.500 x2
Mg 0.011 0.500 0.297 x4
Mg 0.164 0.000 0.427 x4
Mg 0.176 0.500 0.011 x4
Cu 0.115 0.000 0.827 x4
Cu 0.160 0.500 0.266 x4

Results
**N(E_F)**: 0.5281 states/eV/atom
**Crystal system**: monoclinic
**Calculated volume**: 337 Å³/f.u.
**ΔH_f (0 K)**: -0.11 eV per atom


[10]
AcMgCu2: relaxed, PBE.

a = 3.493 Å, b = 3.493 Å, c = 7.034 Å
α = 90.00°, β = 90.00°, γ = 90.00°
Space group P4/mmm (No. 123)
One atom of each set of equivalent atoms:
Ac 0.000 0.000 0.000 x1
Mg 0.000 0.000 0.500 x1
Cu 0.500 0.500 0.310 x2

Results
**N(E_F)**: 0.5317 states/eV/atom
**Crystal system**: tetragonal
**Calculated volume**: 86 Å³/f.u.
**ΔH_f (0 K)**: -0.01 eV per atom


[11]
AcMg2Cu: relaxed, PBE.

a = 4.551 Å, b = 10.763 Å, c = 8.218 Å
α = 90.00°, β = 90.00°, γ = 90.00°
Space group Cmcm (No. 63)
One atom of each set of equivalent atoms:
Ac 0.000 0.053 0.250 x4
Mg 0.000 0.342 0.056 x8
Cu 0.000 0.232 0.750 x4

Results
**N(E_F)**: 0.4606 states/eV/atom
**Crystal system**: orthorhombic
**Calculated volume**: 101 Å³/f.u.
**ΔH_f (0 K)**: -0.16 eV per atom


[12]
AcMg3Cu2: relaxed, PBE.

a = 10.2667 Å, b = 10.2667 Å, c = 4.3755 Å
α = 90.00°, β = 90.00°, γ = 120.00°
Space group P6/mmm (No. 191)
One atom of each set of equivalent atoms:
Ac 0.0000 0.0000 0.0000 x1
Ac 0.3333 0.6667 0.5000 x2
Mg 0.0000 0.2966 0.5000 x6
Mg 0.0000 0.5000 0.0000 x3
Cu 0.1887 0.3774 0.0000 x6

Results
**N(E_F)**: 0.5053 states/eV/atom
**Crystal system**: hexagonal
**Calculated volume**: 133 Å³/f.u.
**ΔH_f (0 K)**: -0.15 eV per atom